(1)
The following is a PBE calculation of a geometry-optimized BeNiIr2 structure, from Alexandria.

Properties
* crystal system: orthorhombic
* E_form: 0.01 eV per atom
* M_tot: 0.0 μB per formula unit

a b c (Å): 2.737 4.495 4.138
angles (deg): 90.00 90.00 90.00
Positions (direct):
Be (0.000, 0.500, 0.500)
Ir (0.000, 0.000, 0.000)
Ir (0.500, 0.500, 0.000)
Ni (0.500, 0.000, 0.500)

(2)
The following is a PBE calculation of a geometry-optimized Sm2ThIn9 structure, from Alexandria.

Properties
* crystal system: tetragonal
* E_form: -0.43 eV per atom
* M_tot: 0.0 μB per formula unit

a b c (Å): 4.703 4.703 14.132
angles (deg): 90.00 90.00 90.00
Positions (direct):
In (0.000, 0.500, 0.170)
In (0.500, 0.500, 0.335)
In (0.000, 0.500, 0.500)
In (0.500, 0.000, 0.830)
In (0.500, 0.500, 0.665)
In (0.000, 0.500, 0.830)
In (0.500, 0.500, 0.000)
In (0.500, 0.000, 0.500)
In (0.500, 0.000, 0.170)
Th (0.000, 0.000, 0.000)
Sm (0.000, 0.000, 0.335)
Sm (0.000, 0.000, 0.665)

(3)
The following is a PBE calculation of a geometry-optimized MnTl3V structure, from Alexandria.

Properties
* relative energy among the computed polymorphs: 0.000 eV per atom
* crystal system: cubic
* E_form: 0.91 eV per atom
* M_tot: 6.0 μB per formula unit

a b c (Å): 5.126 5.126 5.126
angles (deg): 90.00 90.00 90.00
Last column: magnetic moment on the atom in μB.
Positions (direct):
Mn (0.000, 0.000, 0.000)  2.52
Tl (0.500, 0.000, 0.000)  -0.06
Tl (0.000, 0.500, 0.000)  -0.06
Tl (0.000, 0.000, 0.500)  -0.06
V (0.500, 0.500, 0.500)  3.03

(4)
The following is a PBE calculation of a geometry-optimized PrNd2OsN4 structure, from Alexandria.

Properties
* ΔE_f (raw): -0.778 eV/atom
* crystal system: orthorhombic
* M_tot: 0.0 μB per formula unit

a b c (Å): 3.514 6.296 12.170
angles (deg): 90.00 90.00 106.20
Positions (direct):
N (0.000, 0.000, 0.500)
N (0.572, 0.144, 0.250)
N (0.000, 0.000, 0.000)
N (0.428, 0.856, 0.750)
N (0.728, 0.456, 0.864)
N (0.272, 0.544, 0.364)
N (0.272, 0.544, 0.136)
N (0.728, 0.456, 0.636)
Os (0.851, 0.703, 0.750)
Os (0.149, 0.297, 0.250)
Nd (0.632, 0.264, 0.459)
Nd (0.368, 0.736, 0.541)
Nd (0.368, 0.736, 0.959)
Nd (0.632, 0.264, 0.041)
Pr (0.880, 0.760, 0.250)
Pr (0.120, 0.240, 0.750)

(5)
The following is a PBE calculation of a geometry-optimized CdReSb structure, from Alexandria.

Properties
* ΔE_f (raw): 0.512 eV/atom
* relative energy among the computed polymorphs: 0.010 eV per atom
* crystal system: trigonal
* M_tot: 0.0 μB per formula unit

a b c (Å): 3.173 3.173 7.237
angles (deg): 90.00 90.00 120.00
Positions (direct):
Cd (0.000, 0.000, 0.034)
Sb (0.333, 0.667, 0.619)
Re (0.667, 0.333, 0.347)

(6)
The following is a PBE calculation of a geometry-optimized Cr2MoPdN structure, from Alexandria.

Properties
* ΔE_f (raw): -0.156 eV/atom
* relative energy among the computed polymorphs: 0.000 eV per atom
* crystal system: tetragonal
* M_tot: 1.9 μB per formula unit

a b c (Å): 3.899 3.899 4.063
angles (deg): 90.00 90.00 90.00
Last column: magnetic moment on the atom in μB.
Positions (direct):
N (0.000, 0.000, 0.000)  -0.02
Cr (0.500, 0.000, 0.000)  1.11
Cr (0.000, 0.500, 0.000)  1.11
Mo (0.000, 0.000, 0.500)  -0.40
Pd (0.500, 0.500, 0.500)  -0.01

(7)
The following is a PBE calculation of a geometry-optimized Ac2Pm2Ag structure, from Alexandria.

Properties
* crystal system: tetragonal
* E_form: -0.07 eV per atom
* M_tot: 0.0 μB per formula unit

a b c (Å): 3.865 3.865 12.194
angles (deg): 99.12 99.12 90.00
Positions (direct):
Ac (0.413, 0.413, 0.827)
Ac (0.587, 0.587, 0.173)
Ag (0.000, 0.000, 0.000)
Pm (0.799, 0.799, 0.599)
Pm (0.201, 0.201, 0.401)

Please write out number 7 again, unchanged.
The following is a PBE calculation of a geometry-optimized Ac2Pm2Ag structure, from Alexandria.

Properties
* crystal system: tetragonal
* E_form: -0.07 eV per atom
* M_tot: 0.0 μB per formula unit

a b c (Å): 3.865 3.865 12.194
angles (deg): 99.12 99.12 90.00
Positions (direct):
Ac (0.413, 0.413, 0.827)
Ac (0.587, 0.587, 0.173)
Ag (0.000, 0.000, 0.000)
Pm (0.799, 0.799, 0.599)
Pm (0.201, 0.201, 0.401)

Please write out number 2 again, unchanged.
The following is a PBE calculation of a geometry-optimized Sm2ThIn9 structure, from Alexandria.

Properties
* crystal system: tetragonal
* E_form: -0.43 eV per atom
* M_tot: 0.0 μB per formula unit

a b c (Å): 4.703 4.703 14.132
angles (deg): 90.00 90.00 90.00
Positions (direct):
In (0.000, 0.500, 0.170)
In (0.500, 0.500, 0.335)
In (0.000, 0.500, 0.500)
In (0.500, 0.000, 0.830)
In (0.500, 0.500, 0.665)
In (0.000, 0.500, 0.830)
In (0.500, 0.500, 0.000)
In (0.500, 0.000, 0.500)
In (0.500, 0.000, 0.170)
Th (0.000, 0.000, 0.000)
Sm (0.000, 0.000, 0.335)
Sm (0.000, 0.000, 0.665)